[1]
Material: NbFe2H
Method: DFT, PBE
State: relaxed

Cell lengths 4.0276, 4.0276, 4.0276 Å; angles 60.00, 60.00, 60.00 degrees
Sites, in units of the cell vectors:
Nb1 0.0000 0.0000 0.0000
Fe1 0.2500 0.2500 0.2500
Fe2 0.7500 0.7500 0.7500
H1 0.5000 0.5000 0.5000

Properties
uncorrected energy: -27.56 eV for the cell shown

***

[2]
Material: Nb2FeH
Method: DFT, PBE
State: relaxed

Cell lengths 4.1968, 4.1968, 4.1968 Å; angles 60.00, 60.00, 60.00 degrees
Sites, in units of the cell vectors:
Nb1 0.2500 0.2500 0.2500
Nb2 0.7500 0.7500 0.7500
Fe1 0.0000 0.0000 0.0000
H1 0.5000 0.5000 0.5000

Properties
uncorrected energy: -30.63 eV for the cell shown

***

[3]
Material: Nb2FeH
Method: DFT, PBE
State: relaxed

Cell lengths 6.2565, 6.2565, 6.2565 Å; angles 34.84, 34.84, 34.84 degrees
Sites, in units of the cell vectors:
Nb1 0.1067 0.1067 0.1067
Nb2 0.8933 0.8933 0.8933
Fe1 0.5000 0.5000 0.5000
H1 0.0000 0.0000 0.0000

Properties
uncorrected energy: -30.43 eV for the cell shown

***

[4]
Material: NbFeH3
Method: DFT, PBE
State: relaxed

Cell lengths 3.5617, 3.5617, 3.5617 Å; angles 90.00, 90.00, 90.00 degrees
Sites, in units of the cell vectors:
Nb1 0.0000 0.0000 0.0000
Fe1 0.5000 0.5000 0.5000
H1 0.0000 0.0000 0.5000
H2 0.0000 0.5000 0.0000
H3 0.5000 0.0000 0.0000

Properties
uncorrected energy: -26.71 eV for the cell shown

***

[5]
Material: NbFeH3
Method: DFT, PBE
State: relaxed

Cell lengths 3.2903, 3.2903, 3.2903 Å; angles 90.00, 90.00, 90.00 degrees
Sites, in units of the cell vectors:
Nb1 0.0000 0.0000 0.0000
Fe1 0.5000 0.5000 0.5000
H1 0.0000 0.5000 0.5000
H2 0.5000 0.0000 0.5000
H3 0.5000 0.5000 0.0000

Properties
uncorrected energy: -28.58 eV for the cell shown

***

[6]
Material: Nb3Fe5H12
Method: DFT, PBE
State: relaxed

Cell lengths 9.1780, 9.1780, 9.1780 Å; angles 109.47, 109.47, 109.47 degrees
Sites, in units of the cell vectors:
Nb1 0.1250 0.2500 0.3750
Nb2 0.1250 0.3750 0.7500
Nb3 0.2500 0.3750 0.1250
Nb4 0.2500 0.8750 0.6250
Nb5 0.3750 0.1250 0.2500
Nb6 0.3750 0.7500 0.1250
Nb7 0.6250 0.2500 0.8750
Nb8 0.6250 0.8750 0.7500
Nb9 0.7500 0.1250 0.3750
Nb10 0.7500 0.6250 0.8750
Nb11 0.8750 0.6250 0.2500
Nb12 0.8750 0.7500 0.6250
Fe1 0.0000 0.0000 0.0000
Fe2 0.0000 0.0000 0.5000
Fe3 0.0000 0.5000 0.0000
Fe4 0.0000 0.5000 0.5000
Fe5 0.1250 0.7500 0.8750
Fe6 0.1250 0.8750 0.2500
Fe7 0.2500 0.1250 0.8750
Fe8 0.2500 0.6250 0.3750
Fe9 0.3750 0.2500 0.6250
Fe10 0.3750 0.6250 0.7500
Fe11 0.5000 0.0000 0.0000
Fe12 0.5000 0.0000 0.5000
Fe13 0.5000 0.5000 0.0000
Fe14 0.5000 0.5000 0.5000
Fe15 0.6250 0.3750 0.2500
Fe16 0.6250 0.7500 0.3750
Fe17 0.7500 0.3750 0.6250
Fe18 0.7500 0.8750 0.1250
Fe19 0.8750 0.1250 0.7500
Fe20 0.8750 0.2500 0.1250
H1 0.0428 0.2112 0.1275
H2 0.0428 0.3316 0.9153
H3 0.0837 0.7112 0.6684
H4 0.0837 0.8725 0.4153
H5 0.0847 0.6275 0.4163
H6 0.0847 0.9572 0.6684
H7 0.1275 0.0428 0.2112
H8 0.1275 0.5847 0.9163
H9 0.1684 0.2112 0.5837
H10 0.1684 0.4572 0.5847
H11 0.2112 0.1275 0.0428
H12 0.2112 0.5837 0.1684
H13 0.2888 0.3316 0.9163
H14 0.2888 0.4572 0.3725
H15 0.3316 0.9153 0.0428
H16 0.3316 0.9163 0.2888
H17 0.3725 0.2888 0.4572
H18 0.3725 0.5837 0.9153
H19 0.4153 0.0837 0.8725
H20 0.4153 0.8316 0.5428
H21 0.4163 0.0847 0.6275
H22 0.4163 0.8316 0.7888
H23 0.4572 0.3725 0.2888
H24 0.4572 0.5847 0.1684
H25 0.5428 0.4153 0.8316
H26 0.5428 0.6275 0.7112
H27 0.5837 0.1684 0.2112
H28 0.5837 0.9153 0.3725
H29 0.5847 0.1684 0.4572
H30 0.5847 0.9163 0.1275
H31 0.6275 0.4163 0.0847
H32 0.6275 0.7112 0.5428
H33 0.6684 0.0837 0.7112
H34 0.6684 0.0847 0.9572
H35 0.7112 0.5428 0.6275
H36 0.7112 0.6684 0.0837
H37 0.7888 0.4163 0.8316
H38 0.7888 0.8725 0.9572
H39 0.8316 0.5428 0.4153
H40 0.8316 0.7888 0.4163
H41 0.8725 0.4153 0.0837
H42 0.8725 0.9572 0.7888
H43 0.9153 0.0428 0.3316
H44 0.9153 0.3725 0.5837
H45 0.9163 0.1275 0.5847
H46 0.9163 0.2888 0.3316
H47 0.9572 0.6684 0.0847
H48 0.9572 0.7888 0.8725

Properties
uncorrected energy: -451.16 eV for the cell shown

***

[7]
Material: Nb3Fe8H
Method: DFT, PBE
State: relaxed

Cell lengths 8.2106, 8.2106, 8.2106 Å; angles 34.02, 34.02, 34.02 degrees
Sites, in units of the cell vectors:
Nb1 0.0000 0.0000 0.0000
Nb2 0.1291 0.1291 0.1291
Nb3 0.6153 0.6153 0.6153
Fe1 0.0589 0.5625 0.5625
Fe2 0.0601 0.0601 0.5632
Fe3 0.0601 0.5632 0.0601
Fe4 0.3108 0.3108 0.3108
Fe5 0.5625 0.0589 0.5625
Fe6 0.5625 0.5625 0.0589
Fe7 0.5632 0.0601 0.0601
Fe8 0.8124 0.8124 0.8124
H1 0.4413 0.4413 0.4413

Properties
uncorrected energy: -100.52 eV for the cell shown

***

[8]
Material: NbFe2H
Method: DFT, PBE
State: relaxed

Cell lengths 4.9825, 4.9825, 4.9825 Å; angles 60.00, 60.00, 60.00 degrees
Sites, in units of the cell vectors:
Nb1 0.1250 0.1250 0.1250
Nb2 0.8750 0.8750 0.8750
Fe1 0.0000 0.5000 0.5000
Fe2 0.5000 0.0000 0.5000
Fe3 0.5000 0.5000 0.0000
Fe4 0.5000 0.5000 0.5000
H1 0.3750 0.3750 0.3750
H2 0.6250 0.6250 0.6250

Properties
uncorrected energy: -59.93 eV for the cell shown

***

[9]
Material: NbFe2H
Method: DFT, PBE
State: relaxed

Cell lengths 7.1459, 7.1459, 7.1459 Å; angles 22.16, 22.16, 22.16 degrees
Sites, in units of the cell vectors:
Nb1 0.0000 0.0000 0.0000
Fe1 0.1180 0.1180 0.1180
Fe2 0.8820 0.8820 0.8820
H1 0.5000 0.5000 0.5000

Properties
uncorrected energy: -28.76 eV for the cell shown

***

[10]
Material: NbFeNi2H
Method: DFT, PBE
State: relaxed

Cell lengths 3.6187, 3.6187, 3.9022 Å; angles 90.00, 90.00, 90.00 degrees
Sites, in units of the cell vectors:
Nb1 0.0000 0.0000 0.0000
Fe1 0.5000 0.5000 0.0000
Ni1 0.0000 0.5000 0.5000
Ni2 0.5000 0.0000 0.5000
H1 0.5000 0.5000 0.5000

Properties
uncorrected energy: -34.13 eV for the cell shown

***

[11]
Material: NbFeNi2H
Method: DFT, PBE
State: relaxed

Cell lengths 3.5662, 3.5662, 4.0850 Å; angles 90.00, 90.00, 90.00 degrees
Sites, in units of the cell vectors:
Nb1 0.0000 0.0000 0.0000
Fe1 0.5000 0.5000 0.0000
Ni1 0.0000 0.5000 0.5000
Ni2 0.5000 0.0000 0.5000
H1 0.0000 0.0000 0.5000

Properties
uncorrected energy: -33.83 eV for the cell shown

***

[12]
Material: Nb2FeHOs
Method: DFT, PBE
State: relaxed

Cell lengths 4.2828, 4.2828, 3.4860 Å; angles 90.00, 90.00, 90.00 degrees
Sites, in units of the cell vectors:
Nb1 0.0000 0.5000 0.0000
Nb2 0.5000 0.0000 0.0000
Fe1 0.0000 0.0000 0.5000
H1 0.0000 0.0000 0.0000
Os1 0.5000 0.5000 0.5000

Properties
uncorrected energy: -43.65 eV for the cell shown